Record 1
Density functional theory data (PBE-GGA) for an optimized crystal structure of Cs3AlC.

Computed properties:
Total energy (eV per atom): -1.65
DFT formation energy (meV/atom): 1457
V (A^3/atom): 72.6

Cell: 7.132 7.132 7.132 Å, 90.00 90.00 90.00°
Space group Pm-3m (No. 221)
Inequivalent atoms, fractional coordinates:
Cs 0.000 0.000 0.500 [3 per cell]
Al 0.000 0.000 0.000 [1 per cell]
C 0.500 0.500 0.500 [1 per cell]

Record 2
Density functional theory data (PBE-GGA) for an optimized crystal structure of Li2TbZnAg4.

Computed properties:
Total energy (eV per atom): -2.81
DFT formation energy (meV/atom): -167
V (A^3/atom): 18.9

Cell: 4.5067 4.5067 25.7290 Å, 90.00 90.00 120.00°
Space group R-3m (No. 166, hexagonal axes)
Inequivalent atoms, fractional coordinates:
Li 0.0000 0.0000 0.2377 [6 per cell]
Tb 0.0000 0.0000 0.0000 [3 per cell]
Zn 0.0000 0.0000 0.5000 [3 per cell]
Ag 0.0000 0.0000 0.1280 [6 per cell]
Ag 0.0000 0.0000 0.3977 [6 per cell]

Record 3
Density functional theory data (PBE-GGA) for an optimized crystal structure of La2Ga3CuPt12.

Computed properties:
Total energy (eV per atom): -5.68
DFT formation energy (meV/atom): -373
V (A^3/atom): 20.4

Cell: 8.1068 8.1068 19.3901 Å, 90.00 90.00 120.00°
Space group R-3m (No. 166, hexagonal axes)
Inequivalent atoms, fractional coordinates:
La 0.0000 0.0000 0.1279 [6 per cell]
Ga 0.0000 0.5000 0.0000 [9 per cell]
Cu 0.0000 0.0000 0.5000 [3 per cell]
Pt 0.0002 0.5001 0.1266 [18 per cell]
Pt 0.0010 0.5005 0.6248 [18 per cell]

Record 4
Density functional theory data (PBE-GGA) for an optimized crystal structure of YTe2HI.

Computed properties:
Total energy (eV per atom): -2.70
V (A^3/atom): 42.4

Cell: 6.176 6.176 5.558 Å, 90.00 90.00 90.00°
Space group P4/mmm (No. 123)
Inequivalent atoms, fractional coordinates:
Y 0.000 0.000 0.000 [1 per cell]
Te 0.000 0.500 0.500 [2 per cell]
H 0.500 0.500 0.000 [1 per cell]
I 0.000 0.000 0.500 [1 per cell]

Record 5
Density functional theory data (PBE-GGA) for an optimized crystal structure of AgI2BrO.

Computed properties:
Total energy (eV per atom): -2.01
Raw formation energy (eV/atom): 0.503
V (A^3/atom): 28.0

Cell: 5.912 5.912 4.006 Å, 90.00 90.00 90.00°
Space group P4/mmm (No. 123)
Inequivalent atoms, fractional coordinates:
Ag 0.000 0.000 0.000 [1 per cell]
I 0.000 0.500 0.500 [2 per cell]
Br 0.500 0.500 0.500 [1 per cell]
O 0.500 0.500 0.000 [1 per cell]

Record 6
Density functional theory data (PBE-GGA) for an optimized crystal structure of FeCo2HgN.

Computed properties:
Total energy (eV per atom): -6.17
Raw formation energy (eV/atom): 0.095
V (A^3/atom): 11.8

Cell: 3.891 3.891 3.888 Å, 90.00 90.00 90.00°
Space group P4/mmm (No. 123)
Inequivalent atoms, fractional coordinates:
Fe 0.000 0.000 0.000 [1 per cell]
Co 0.000 0.500 0.500 [2 per cell]
Hg 0.500 0.500 0.000 [1 per cell]
N 0.000 0.000 0.500 [1 per cell]

Record 7
Density functional theory data (PBE-GGA) for an optimized crystal structure of TcSn2Ru.

Computed properties:
Total energy (eV per atom): -6.88
DFT formation energy (meV/atom): 29
V (A^3/atom): 17.1

Cell: 4.585 4.585 3.254 Å, 90.00 90.00 90.00°
Space group P4/mmm (No. 123)
Inequivalent atoms, fractional coordinates:
Tc 0.000 0.000 0.000 [1 per cell]
Sn 0.000 0.500 0.500 [2 per cell]
Ru 0.500 0.500 0.000 [1 per cell]

Record 8
Density functional theory data (PBE-GGA) for an optimized crystal structure of BeTc2Se.

Computed properties:
Total energy (eV per atom): -6.53
Raw formation energy (eV/atom): 0.452
V (A^3/atom): 14.0

Cell: 3.067 3.996 4.581 Å, 90.00 90.00 90.00°
Space group Pmmm (No. 47)
Inequivalent atoms, fractional coordinates:
Be 0.000 0.000 0.000 [1 per cell]
Tc 0.000 0.500 0.500 [1 per cell]
Tc 0.500 0.500 0.000 [1 per cell]
Se 0.500 0.000 0.500 [1 per cell]